Record 1
Li4Tl2F9 | PBE | relaxed

Output
The value obtained for the total energy is -129.918 eV per cell. For the magnetization, the calculation gives 0.000 μB per formula unit. As for the symmetry: No. 162.

Cell: 5.4330 5.4326 14.2152 Å, 90.00 90.00 60.00°
Positions (direct):
F  0.9999  0.3548  0.0783
Tl  0.9999  0.9999  0.3958
Li  0.6665  0.6666  0.3067
F  0.9999  0.4277  0.4105
Li  0.3333  0.3333  0.0000
F  0.7073  0.2925  0.2626
F  0.5722  0.9999  0.4105
F  0.0002  0.2926  0.7374
F  0.6448  0.0000  0.0784
F  0.4278  0.0001  0.5895
F  0.0001  0.6452  0.9217
F  0.4277  0.5722  0.4105
Tl  0.9998  0.0000  0.1443
F  0.9998  0.7074  0.2626
Li  0.3333  0.3333  0.5000
Li  0.6667  0.6667  0.0000
Li  0.3335  0.3334  0.6933
F  0.5723  0.4278  0.5895
F  0.2923  0.9999  0.2626
Tl  0.0002  0.0000  0.8557
F  0.3552  0.0000  0.9216
F  0.2927  0.7075  0.7374
Tl  0.0001  0.0001  0.6042
F  0.7077  0.0001  0.7374
Li  0.6667  0.6667  0.5000
F  0.6454  0.3547  0.9218
F  0.0001  0.5723  0.5895
Li  0.3332  0.3333  0.3066
Li  0.6668  0.6667  0.6934
F  0.3546  0.6453  0.0782

Record 2
LiTl4F5 | PBE | relaxed

Output
The value obtained for the total energy is -40.457 eV per cell. For the magnetization, the calculation gives 0.000 μB per formula unit. The density of states at the Fermi level comes out at 0.000 states/eV/atom. As for the symmetry: No. 87.

Cell: 3.9832 7.3081 7.3081 Å, 85.74 74.19 74.19°
Positions (direct):
Li  0.9989  0.0000  0.0000
F  0.4989  0.0000  0.0000
F  0.1675  0.9687  0.6944
Tl  0.5640  0.2010  0.6689
Tl  0.4339  0.7990  0.3311
F  0.8618  0.3056  0.9687
F  0.1361  0.6944  0.0313
Tl  0.2329  0.3311  0.2010
Tl  0.7650  0.6689  0.7990
F  0.8305  0.0313  0.3056

Record 3
Li2Tl2F | PBE | relaxed

Output
The energy above the most stable polymorph in this dataset comes out at 12 meV per atom. For the magnetization, the calculation gives 0.000 μB per formula unit. The density of states at the Fermi level comes out at 0.326 states/eV/atom. As for the symmetry: No. 1.

Cell: 3.2528 3.4644 9.7724 Å, 79.89 82.56 89.99°
Positions (direct):
Tl  0.2977  0.6221  0.7577
Li  0.1130  0.8805  0.2339
Tl  0.8743  0.2484  0.5019
F  0.6471  0.9277  0.1437
Li  0.7229  0.0251  0.9542

Record 4
LiTl2F3 | PBE | relaxed

Output
The value obtained for the total energy is -99.805 eV per cell. For the magnetization, the calculation gives 0.000 μB per formula unit. The density of states at the Fermi level comes out at 0.000 states/eV/atom. As for the symmetry: No. 64.

Cell: 5.9124 6.5393 12.9120 Å, 90.00 90.00 116.88°
Positions (direct):
Li  0.7482  0.4965  0.8346
F  0.6506  0.3012  0.4523
Tl  0.5588  0.1176  0.6455
F  0.4705  0.4410  0.2500
F  0.9705  0.4410  0.2500
F  0.5877  0.1754  0.8681
F  0.0295  0.5590  0.7500
Tl  0.8602  0.7204  0.5820
Tl  0.4412  0.8824  0.3545
Tl  0.9412  0.8824  0.1455
Li  0.2482  0.4965  0.6654
Tl  0.1398  0.2796  0.4180
Li  0.7518  0.5035  0.3346
Tl  0.0588  0.1176  0.8545
F  0.1506  0.3012  0.0477
F  0.0877  0.1754  0.6319
F  0.4123  0.8246  0.1319
Li  0.2518  0.5035  0.1654
Tl  0.3602  0.7204  0.9180
F  0.9123  0.8246  0.3681
F  0.3494  0.6988  0.5477
F  0.5295  0.5590  0.7500
F  0.8494  0.6988  0.9523
Tl  0.6398  0.2796  0.0820

Record 5
LiTl2F | PBE | relaxed

Output
The energy above the most stable polymorph in this dataset comes out at 97 meV per atom. For the magnetization, the calculation gives 0.000 μB per formula unit. The density of states at the Fermi level comes out at 0.574 states/eV/atom. As for the symmetry: No. 225.

Cell: 4.9665 4.9665 4.9665 Å, 60.00 60.00 60.00°
Positions (direct):
Tl  0.7500  0.7500  0.7500
F  0.5000  0.5000  0.5000
Li  0.0000  0.0000  0.0000
Tl  0.2500  0.2500  0.2500

Record 6
Li2Tl2F | PBE | relaxed

Output
The energy above the most stable polymorph in this dataset comes out at 0 meV per atom. For the magnetization, the calculation gives 0.000 μB per formula unit. The density of states at the Fermi level comes out at 0.195 states/eV/atom. As for the symmetry: No. 6.

Cell: 3.2581 3.2530 9.1566 Å, 90.00 90.65 90.00°
Positions (direct):
F  0.1616  0.5000  0.8816
Li  0.6591  0.5000  0.7602
Tl  0.1747  0.0000  0.5219
Tl  0.6745  0.5000  0.2412
Li  0.1669  0.0000  0.0037

Record 7
Li2Tl2F | PBE | relaxed

Output
The energy above the most stable polymorph in this dataset comes out at 63 meV per atom. For the magnetization, the calculation gives 0.000 μB per formula unit. The density of states at the Fermi level comes out at 0.247 states/eV/atom. As for the symmetry: No. 1.

Cell: 3.3022 6.0150 6.0211 Å, 66.50 74.73 90.19°
Positions (direct):
Tl  0.5523  0.0363  0.3955
Li  0.0510  0.5569  0.3947
Tl  0.3288  0.2777  0.8469
F  0.2221  0.6863  0.0546
Li  0.7969  0.7381  0.8997

Record 8
Li5Tl2F12 | PBE | relaxed

Output
The value obtained for the total energy is -79.919 eV per cell. For the magnetization, the calculation gives 1.290 μB per formula unit. As for the symmetry: No. 2.

Cell: 8.3319 7.3832 7.0618 Å, 122.04 85.89 133.86°
Last column: magnetic moment on the atom in μB.
Positions (direct):
Li  0.3429  0.5403  0.5148  0.00
F  0.7957  0.6426  0.8532  0.01
F  0.3541  0.4897  0.8101  0.06
Li  0.0000  0.0000  0.5000  0.00
F  0.9825  0.5052  0.1491  0.40
Li  0.2656  0.6154  0.0744  0.00
F  0.4148  0.9222  0.7463  0.03
F  0.0281  0.8128  0.5913  0.08
Tl  0.2274  0.0038  0.9466  0.00
F  0.0175  0.4948  0.8509  0.40
Li  0.6571  0.4597  0.4852  0.00
F  0.7138  0.8493  0.6843  0.02
F  0.9719  0.1872  0.4087  0.08
Tl  0.7725  0.9962  0.0534  0.00
F  0.2862  0.1507  0.3157  0.02
F  0.5852  0.0778  0.2537  0.03
Li  0.7344  0.3846  0.9256  0.00
F  0.2043  0.3574  0.1468  0.01
F  0.6459  0.5104  0.1899  0.06

Record 9
Li2TlF2 | PBE | relaxed

Output
The value obtained for the total energy is -76.354 eV per cell. For the magnetization, the calculation gives 0.001 μB per formula unit. The density of states at the Fermi level comes out at 0.423 states/eV/atom. As for the symmetry: No. 141.

Cell: 7.8478 7.8478 7.8478 Å, 104.69 104.69 119.52°
Positions (direct):
F  0.3492  0.5465  0.8027
F  0.4535  0.6508  0.1973
Tl  0.1250  0.8750  0.7500
Li  0.4633  0.3285  0.1348
Li  0.7867  0.4215  0.3652
Li  0.5785  0.2133  0.6348
Li  0.6715  0.5367  0.8652
Tl  0.1250  0.3750  0.2500
Tl  0.1250  0.8750  0.2500
F  0.4535  0.2562  0.8027
Tl  0.6250  0.8750  0.7500
Li  0.1937  0.3285  0.8652
F  0.7965  0.0992  0.3027
F  0.7965  0.4938  0.6973
Li  0.0563  0.4215  0.6348
Li  0.6715  0.8063  0.1348
F  0.5062  0.2035  0.3027
F  0.9008  0.2035  0.6973
F  0.7438  0.5465  0.1973
Li  0.5785  0.9437  0.3652

Record 10
Li4TlF8 | PBE | relaxed

Output
The value obtained for the total energy is -54.752 eV per cell. For the magnetization, the calculation gives 1.028 μB per formula unit. The density of states at the Fermi level comes out at 0.586 states/eV/atom. As for the symmetry: No. 166.

Cell: 6.0112 6.0111 6.2590 Å, 90.00 118.70 120.00°
Last column: magnetic moment on the atom in μB.
Positions (direct):
F  0.5066  0.7533  0.7844  0.04
F  0.4520  0.7260  0.1779  0.33
Li  0.0000  0.5000  0.0000  0.00
F  0.9690  0.7223  0.2156  0.04
F  0.9690  0.2467  0.2156  0.04
F  0.4934  0.2467  0.2156  0.04
F  0.0310  0.7533  0.7844  0.04
F  0.0310  0.2777  0.7844  0.04
Li  0.5000  0.5000  0.0000  0.00
F  0.5480  0.2740  0.8221  0.33
Li  0.5000  0.0000  0.0000  0.00
Tl  0.0000  0.5000  0.5000  0.00
Li  0.0000  0.0000  0.0000  0.00

Record 11
Li2Tl2F | PBE | relaxed

Output
The energy above the most stable polymorph in this dataset comes out at 55 meV per atom. For the magnetization, the calculation gives 0.000 μB per formula unit. The density of states at the Fermi level comes out at 0.354 states/eV/atom. As for the symmetry: No. 12.

Cell: 5.6551 3.0169 13.6218 Å, 90.00 114.27 90.00°
Positions (direct):
Tl  0.1919  0.5000  0.1900
Tl  0.1919  0.0000  0.6900
F  0.5000  0.0000  0.5000
Li  0.7189  0.5000  0.5024
Tl  0.8081  0.5000  0.8100
Li  0.7189  0.0000  0.0024
Tl  0.8081  0.0000  0.3100
Li  0.2811  0.5000  0.4976
F  0.5000  0.5000  0.0000
Li  0.2811  0.0000  0.9976

Record 12
Li3Tl4F12 | PBE | relaxed

Output
The value obtained for the total energy is -77.477 eV per cell. For the magnetization, the calculation gives 0.000 μB per formula unit. The density of states at the Fermi level comes out at 0.219 states/eV/atom. As for the symmetry: No. 204.

Cell: 7.3481 7.3481 7.3481 Å, 109.47 109.47 109.47°
Positions (direct):
F  0.8337  0.3330  0.1667
F  0.6670  0.5007  0.8337
F  0.8337  0.6670  0.5007
Tl  0.5000  0.0000  0.0000
F  0.6670  0.8333  0.1663
Tl  0.0000  0.5000  0.0000
Li  0.5000  0.0000  0.5000
Li  0.0000  0.5000  0.5000
F  0.3330  0.1667  0.8337
F  0.3330  0.4993  0.1663
F  0.1663  0.3330  0.4993
Tl  0.0000  0.0000  0.5000
F  0.1667  0.8337  0.3330
Tl  0.5000  0.5000  0.5000
F  0.4993  0.1663  0.3330
F  0.5007  0.8337  0.6670
F  0.8333  0.1663  0.6670
Li  0.5000  0.5000  0.0000
F  0.1663  0.6670  0.8333